A relaxed structure of CeVSi, computed with PBE-GGA.

Unit cell a=5.735 b=5.735 c=12.061 alpha=90.00 beta=90.00 gamma=120.00
Sites, in units of the cell vectors:
Ce (0.000, 0.000, 0.000)
Ce (0.000, 0.000, 0.333)
Ce (0.000, 0.000, 0.667)
Ce (0.000, 0.500, 0.167)
Ce (0.500, 0.000, 0.500)
Ce (0.500, 0.500, 0.833)
V (0.000, 0.500, 0.480)
V (0.000, 0.500, 0.853)
V (0.500, 0.000, 0.187)
V (0.500, 0.000, 0.813)
V (0.500, 0.500, 0.147)
V (0.500, 0.500, 0.520)
Si (0.239, 0.619, 0.667)
Si (0.381, 0.619, 0.333)
Si (0.381, 0.761, 0.000)
Si (0.619, 0.239, 0.000)
Si (0.619, 0.381, 0.333)
Si (0.761, 0.381, 0.667)

The formation energy (no corrections) is -73 kJ/mol of formula units. The space group is P6_222 (180). The value obtained for the total magnetization is 0.0 μB/f.u.